*one*
A relaxed Cs2NaLi crystal. Source: Alexandria via LeMat-Bulk, functional PBE.

The structure in CIF format:
```
data_Cs2NaLi
_chemical_formula_sum 'Cs6 Na3 Li3'
_cell_length_a 4.6178
_cell_length_b 4.6178
_cell_length_c 44.2030
_cell_angle_alpha 90.00
_cell_angle_beta 90.00
_cell_angle_gamma 120.00
_space_group_name_H-M_alt 'R -3 m'
_space_group_IT_number 166
_space_group_name_Hall '-R 3 2"'
loop_
_atom_site_label
_atom_site_type_symbol
_atom_site_fract_x
_atom_site_fract_y
_atom_site_fract_z
_atom_site_occupancy
Cs1 Cs 0.0000 0.0000 0.0873 1
Na1 Na 0.0000 0.0000 0.5000 1
Li1 Li 0.0000 0.0000 0.0000 1
```

=====

*two*
A relaxed Cs2NaLi crystal. Source: Alexandria via LeMat-Bulk, functional PBE.

The structure in CIF format:
```
data_Cs2NaLi
_chemical_formula_sum 'Cs8 Na4 Li4'
_cell_length_a 10.177
_cell_length_b 10.177
_cell_length_c 10.177
_cell_angle_alpha 90.00
_cell_angle_beta 90.00
_cell_angle_gamma 90.00
_space_group_name_H-M_alt 'F m -3 m'
_space_group_IT_number 225
_space_group_name_Hall '-F 4 2 3'
loop_
_atom_site_label
_atom_site_type_symbol
_atom_site_fract_x
_atom_site_fract_y
_atom_site_fract_z
_atom_site_occupancy
Cs1 Cs 0.250 0.250 0.250 1
Na1 Na 0.000 0.000 0.000 1
Li1 Li 0.000 0.000 0.500 1
```

=====

The least stable of them is *one*.

=====

*one*
A relaxed CsNaLi crystal. Source: Alexandria via LeMat-Bulk, functional PBE.

The structure in CIF format:
```
data_CsNaLi
_chemical_formula_sum 'Cs1 Na1 Li1'
_cell_length_a 6.2001
_cell_length_b 6.2001
_cell_length_c 4.9224
_cell_angle_alpha 90.00
_cell_angle_beta 90.00
_cell_angle_gamma 120.00
_space_group_name_H-M_alt 'P 3 m 1'
_space_group_IT_number 156
loop_
_space_group_symop_operation_xyz
'x,y,z'
'-y,x-y,z'
'-x+y,-x,z'
'-y,-x,z'
'-x+y,y,z'
'x,x-y,z'
loop_
_atom_site_label
_atom_site_type_symbol
_atom_site_fract_x
_atom_site_fract_y
_atom_site_fract_z
_atom_site_occupancy
Cs1 Cs 0.0000 0.0000 0.0000 1
Na1 Na 0.3333 0.6667 0.4991 1
Li1 Li 0.6667 0.3333 0.4987 1
```

=====

*two*
A relaxed CsNaLi crystal. Source: Alexandria via LeMat-Bulk, functional PBE.

The structure in CIF format:
```
data_CsNaLi
_chemical_formula_sum 'Cs2 Na2 Li2'
_cell_length_a 4.537
_cell_length_b 4.537
_cell_length_c 14.839
_cell_angle_alpha 90.00
_cell_angle_beta 90.00
_cell_angle_gamma 90.00
_space_group_name_H-M_alt 'I 4 m m'
_space_group_IT_number 107
_space_group_name_Hall 'I 4 -2'
loop_
_atom_site_label
_atom_site_type_symbol
_atom_site_fract_x
_atom_site_fract_y
_atom_site_fract_z
_atom_site_occupancy
Cs1 Cs 0.000 0.000 0.000 1
Na1 Na 0.000 0.000 0.720 1
Li1 Li 0.000 0.000 0.291 1
```

=====

The least stable of them is *one*.

=====

*one*
A relaxed CsNa2Li2 crystal. Source: Alexandria via LeMat-Bulk, functional PBE.

The structure in CIF format:
```
data_CsNa2Li2
_chemical_formula_sum 'Cs2 Na4 Li4'
_cell_length_a 10.320
_cell_length_b 10.320
_cell_length_c 3.792
_cell_angle_alpha 90.00
_cell_angle_beta 90.00
_cell_angle_gamma 90.00
_space_group_name_H-M_alt 'P 4/m b m'
_space_group_IT_number 127
_space_group_name_Hall '-P 4 2ab'
loop_
_atom_site_label
_atom_site_type_symbol
_atom_site_fract_x
_atom_site_fract_y
_atom_site_fract_z
_atom_site_occupancy
Cs1 Cs 0.000 0.000 0.000 1
Na1 Na 0.126 0.374 0.000 1
Li1 Li 0.161 0.661 0.500 1
```

=====

*two*
A relaxed CsNa2Li2 crystal. Source: Alexandria via LeMat-Bulk, functional PBE.

The structure in CIF format:
```
data_CsNa2Li2
_chemical_formula_sum 'Cs2 Na4 Li4'
_cell_length_a 5.759
_cell_length_b 5.759
_cell_length_c 13.361
_cell_angle_alpha 90.00
_cell_angle_beta 90.00
_cell_angle_gamma 90.00
_space_group_name_H-M_alt 'I 4/m m m'
_space_group_IT_number 139
_space_group_name_Hall '-I 4 2'
loop_
_atom_site_label
_atom_site_type_symbol
_atom_site_fract_x
_atom_site_fract_y
_atom_site_fract_z
_atom_site_occupancy
Cs1 Cs 0.000 0.000 0.000 1
Na1 Na 0.000 0.000 0.363 1
Li1 Li 0.000 0.500 0.250 1
```

=====

The least stable of them is *two*.

=====

*one*
A relaxed CsNa2Li crystal. Source: Alexandria via LeMat-Bulk, functional PBE.

The structure in CIF format:
```
data_CsNa2Li
_chemical_formula_sum 'Cs3 Na6 Li3'
_cell_length_a 5.8455
_cell_length_b 5.8455
_cell_length_c 21.4795
_cell_angle_alpha 90.00
_cell_angle_beta 90.00
_cell_angle_gamma 120.00
_space_group_name_H-M_alt 'R 3 m'
_space_group_IT_number 160
_space_group_name_Hall 'R 3 -2"'
loop_
_atom_site_label
_atom_site_type_symbol
_atom_site_fract_x
_atom_site_fract_y
_atom_site_fract_z
_atom_site_occupancy
Cs1 Cs 0.0000 0.0000 0.0000 1
Na1 Na 0.0000 0.0000 0.1936 1
Na2 Na 0.0000 0.0000 0.4862 1
Li1 Li 0.0000 0.0000 0.8097 1
```

=====

*two*
A relaxed CsNa2Li crystal. Source: Alexandria via LeMat-Bulk, functional PBE.

The structure in CIF format:
```
data_CsNa2Li
_chemical_formula_sum 'Cs4 Na8 Li4'
_cell_length_a 9.198
_cell_length_b 9.198
_cell_length_c 9.198
_cell_angle_alpha 90.00
_cell_angle_beta 90.00
_cell_angle_gamma 90.00
_space_group_name_H-M_alt 'F m -3 m'
_space_group_IT_number 225
_space_group_name_Hall '-F 4 2 3'
loop_
_atom_site_label
_atom_site_type_symbol
_atom_site_fract_x
_atom_site_fract_y
_atom_site_fract_z
_atom_site_occupancy
Cs1 Cs 0.000 0.000 0.000 1
Na1 Na 0.250 0.250 0.250 1
Li1 Li 0.000 0.000 0.500 1
```

=====

*three*
A relaxed CsNa2Li crystal. Source: Alexandria via LeMat-Bulk, functional PBE.

The structure in CIF format:
```
data_CsNa2Li
_chemical_formula_sum 'Cs1 Na2 Li1'
_cell_length_a 5.822
_cell_length_b 5.822
_cell_length_c 5.859
_cell_angle_alpha 90.00
_cell_angle_beta 90.00
_cell_angle_gamma 90.00
_space_group_name_H-M_alt 'P 4/m m m'
_space_group_IT_number 123
_space_group_name_Hall '-P 4 2'
loop_
_atom_site_label
_atom_site_type_symbol
_atom_site_fract_x
_atom_site_fract_y
_atom_site_fract_z
_atom_site_occupancy
Cs1 Cs 0.000 0.000 0.000 1
Na1 Na 0.000 0.500 0.500 1
Li1 Li 0.500 0.500 0.000 1
```

=====

The least stable of them is *three*.

=====

*one*
A relaxed CsNa2Li crystal. Source: Alexandria via LeMat-Bulk, functional PBE.

The structure in CIF format:
```
data_CsNa2Li
_chemical_formula_sum 'Cs4 Na8 Li4'
_cell_length_a 6.458
_cell_length_b 6.458
_cell_length_c 22.896
_cell_angle_alpha 90.00
_cell_angle_beta 90.00
_cell_angle_gamma 90.00
_space_group_name_H-M_alt 'I -4 2 d'
_space_group_IT_number 122
_space_group_name_Hall 'I -4 2bw'
loop_
_atom_site_label
_atom_site_type_symbol
_atom_site_fract_x
_atom_site_fract_y
_atom_site_fract_z
_atom_site_occupancy
Cs1 Cs 0.000 0.000 0.000 1
Na1 Na 0.008 0.250 0.625 1
Li1 Li 0.000 0.000 0.500 1
```

=====

*two*
A relaxed CsNa2Li crystal. Source: Alexandria via LeMat-Bulk, functional PBE.

The structure in CIF format:
```
data_CsNa2Li
_chemical_formula_sum 'Cs1 Na2 Li1'
_cell_length_a 4.255
_cell_length_b 4.255
_cell_length_c 10.213
_cell_angle_alpha 90.00
_cell_angle_beta 90.00
_cell_angle_gamma 90.00
_space_group_name_H-M_alt 'P 4/m m m'
_space_group_IT_number 123
_space_group_name_Hall '-P 4 2'
loop_
_atom_site_label
_atom_site_type_symbol
_atom_site_fract_x
_atom_site_fract_y
_atom_site_fract_z
_atom_site_occupancy
Cs1 Cs 0.000 0.000 0.000 1
Na1 Na 0.500 0.500 0.327 1
Li1 Li 0.000 0.000 0.500 1
```

=====

*three*
A relaxed CsNa2Li crystal. Source: Alexandria via LeMat-Bulk, functional PBE.

The structure in CIF format:
```
data_CsNa2Li
_chemical_formula_sum 'Cs3 Na6 Li3'
_cell_length_a 5.8111
_cell_length_b 5.8111
_cell_length_c 21.4751
_cell_angle_alpha 90.00
_cell_angle_beta 90.00
_cell_angle_gamma 120.00
_space_group_name_H-M_alt 'R -3 m'
_space_group_IT_number 166
_space_group_name_Hall '-R 3 2"'
loop_
_atom_site_label
_atom_site_type_symbol
_atom_site_fract_x
_atom_site_fract_y
_atom_site_fract_z
_atom_site_occupancy
Cs1 Cs 0.0000 0.0000 0.0000 1
Na1 Na 0.0000 0.0000 0.1972 1
Li1 Li 0.0000 0.0000 0.5000 1
```

=====

The least stable of them is *one*.

=====

*one*
A relaxed Cs2RbNaLi crystal. Source: Alexandria via LeMat-Bulk, functional PBE.

The structure in CIF format:
```
data_Cs2RbNaLi
_chemical_formula_sum 'Cs2 Rb1 Na1 Li1'
_cell_length_a 7.784
_cell_length_b 7.784
_cell_length_c 6.409
_cell_angle_alpha 90.00
_cell_angle_beta 90.00
_cell_angle_gamma 90.00
_space_group_name_H-M_alt 'P 4/m m m'
_space_group_IT_number 123
_space_group_name_Hall '-P 4 2'
loop_
_atom_site_label
_atom_site_type_symbol
_atom_site_fract_x
_atom_site_fract_y
_atom_site_fract_z
_atom_site_occupancy
Cs1 Cs 0.000 0.500 0.000 1
Rb1 Rb 0.000 0.000 0.500 1
Na1 Na 0.500 0.500 0.500 1
Li1 Li 0.500 0.500 0.000 1
```

=====

*two*
A relaxed Cs2RbNaLi crystal. Source: Alexandria via LeMat-Bulk, functional PBE.

The structure in CIF format:
```
data_Cs2RbNaLi
_chemical_formula_sum 'Cs2 Rb1 Na1 Li1'
_cell_length_a 7.611
_cell_length_b 7.611
_cell_length_c 7.273
_cell_angle_alpha 90.00
_cell_angle_beta 90.00
_cell_angle_gamma 90.00
_space_group_name_H-M_alt 'P 4/m m m'
_space_group_IT_number 123
_space_group_name_Hall '-P 4 2'
loop_
_atom_site_label
_atom_site_type_symbol
_atom_site_fract_x
_atom_site_fract_y
_atom_site_fract_z
_atom_site_occupancy
Cs1 Cs 0.000 0.500 0.000 1
Rb1 Rb 0.000 0.000 0.500 1
Na1 Na 0.500 0.500 0.500 1
Li1 Li 0.000 0.000 0.000 1
```

=====

The least stable of them is *two*.